{
  "formula": "NbW3O",
  "functional": "GGA+U",
  "state": "relaxed",
  "n_ef_per_ev_cell": 2.9,
  "relative_energy_ev_per_fu": 11.62,
  "energy_ev_per_atom": -4.4701,
  "m_tot_mub_per_atom": 0.88,
  "cell": [[-4.8789, -0.5228, -0.8473], [-0.2724, -3.3751, 3.6509], [-0.9576, 3.6235, 3.2784]],
  "species": ["Nb", "W", "W", "O", "W"],
  "frac_coords": [[0.0000, 0.0000, 0.0000], [0.0000, 0.0000, 0.5000], [0.0000, 0.5000, 0.0000], [0.5000, 0.5000, 0.5000], [0.5000, 0.0000, 0.0000]]
}